## Ba2TiIn (PBE)

Data for an optimized crystal structure of Ba2TiIn.

Summary:
M_tot, μB/atom: 0.666
Uncorrected energy, eV/atom: -3.088
Formation enthalpy at 0 K, eV per formula unit: 2.126

a b c (Å): 7.4346 7.4346 7.4346
angles (deg): 101.55 101.55 126.83
Sites, in units of the cell vectors:
Ba: 0.1133 0.1250 0.4883
Ba: 0.3750 0.8867 0.0117
Ba: 0.6367 0.6250 0.5117
Ba: 0.8750 0.3633 0.9883
Ti: 0.0000 0.0000 0.0000
Ti: 0.7500 0.2500 0.5000
In: 0.2500 0.7500 0.5000
In: 0.5000 0.5000 0.0000



## BaTi3In (PBE)

Data for an optimized crystal structure of BaTi3In.

Summary:
Energy above the lowest structure with this stoichiometry, eV per atom: 0.000
M_tot, μB/atom: 1.324
Uncorrected energy, eV/atom: -4.704
Formation enthalpy at 0 K, eV per formula unit: 4.824

a b c (Å): 5.3427 5.3427 5.3427
angles (deg): 90.00 90.00 90.00
Sites, in units of the cell vectors:
Ba: 0.0000 0.0000 0.0000
Ti: 0.0000 0.5000 0.5000
Ti: 0.5000 0.0000 0.5000
Ti: 0.5000 0.5000 0.0000
In: 0.5000 0.5000 0.5000



## BaTi3In (PBE)

Data for an optimized crystal structure of BaTi3In.

Summary:
Energy above the lowest structure with this stoichiometry, eV per atom: 0.653
M_tot, μB/atom: 0.158
Uncorrected energy, eV/atom: -4.051
Formation enthalpy at 0 K, eV per formula unit: 8.090

a b c (Å): 4.9784 4.9784 4.9784
angles (deg): 90.00 90.00 90.00
Sites, in units of the cell vectors:
Ba: 0.0000 0.0000 0.0000
Ti: 0.0000 0.0000 0.5000
Ti: 0.0000 0.5000 0.0000
Ti: 0.5000 0.0000 0.0000
In: 0.5000 0.5000 0.5000



## BaTiTlIn2 (PBE)

Data for an optimized crystal structure of BaTiTlIn2.

Summary:
M_tot, μB/atom: 0.085
Uncorrected energy, eV/atom: -2.103
Formation enthalpy at 0 K, eV per formula unit: 7.145

a b c (Å): 6.1611 6.1611 6.2257
angles (deg): 90.00 90.00 90.00
Sites, in units of the cell vectors:
Ba: 0.0000 0.0000 0.0000
Ti: 0.5000 0.5000 0.5000
Tl: 0.0000 0.0000 0.5000
In: 0.0000 0.5000 0.0000
In: 0.5000 0.0000 0.0000



## BaTi2VIn (PBE)

Data for an optimized crystal structure of BaTi2VIn.

Summary:
M_tot, μB/atom: 0.055
Uncorrected energy, eV/atom: -4.128
Formation enthalpy at 0 K, eV per formula unit: 8.931

a b c (Å): 4.9827 4.9827 4.8773
angles (deg): 90.00 90.00 90.00
Sites, in units of the cell vectors:
Ba: 0.0000 0.0000 0.0000
Ti: 0.0000 0.5000 0.0000
Ti: 0.5000 0.0000 0.0000
V: 0.0000 0.0000 0.5000
In: 0.5000 0.5000 0.5000



## BaY2TiIn (PBE)

Data for an optimized crystal structure of BaY2TiIn.

Summary:
M_tot, μB/atom: 0.001
Uncorrected energy, eV/atom: -4.547
Formation enthalpy at 0 K, eV per formula unit: 2.748

a b c (Å): 5.4659 5.4659 5.8413
angles (deg): 90.00 90.00 90.00
Sites, in units of the cell vectors:
Ba: 0.0000 0.0000 0.0000
Y: 0.0000 0.5000 0.5000
Y: 0.5000 0.0000 0.5000
Ti: 0.0000 0.0000 0.5000
In: 0.5000 0.5000 0.0000